Record 1
# Sc2MnSe | Alexandria | GGA-PBE | relaxed
# uncorrected formation energy = 0.059 eV/atom
# crystal system = trigonal
# DOS at the Fermi energy = 1.3732 states/eV/atom
data_Sc2MnSe
_cell_length_a 3.3057
_cell_length_b 3.3057
_cell_length_c 26.4193
_cell_angle_alpha 90.00
_cell_angle_beta 90.00
_cell_angle_gamma 120.00
_symmetry_space_group_name_H-M 'R -3 m'
_symmetry_Int_Tables_number 166
_symmetry_space_group_name_Hall '-R 3 2"'
loop_
_atom_site_label
_atom_site_type_symbol
_atom_site_fract_x
_atom_site_fract_y
_atom_site_fract_z
Sc1 Sc 0.0000 0.0000 0.0998
Mn1 Mn 0.0000 0.0000 0.5000
Se1 Se 0.0000 0.0000 0.0000

Record 2
# Th2Zn4InAu3 | Alexandria | GGA-PBE | relaxed
# calculated formation energy = -0.4087 eV/atom
# crystal system = tetragonal
# DOS at the Fermi energy = 0.8410 states/eV/atom
data_Th2Zn4InAu3
_cell_length_a 4.277
_cell_length_b 4.277
_cell_length_c 11.405
_cell_angle_alpha 90.00
_cell_angle_beta 90.00
_cell_angle_gamma 90.00
_symmetry_space_group_name_H-M 'P -4 m 2'
_symmetry_Int_Tables_number 115
_symmetry_space_group_name_Hall 'P -4 -2'
loop_
_atom_site_label
_atom_site_type_symbol
_atom_site_fract_x
_atom_site_fract_y
_atom_site_fract_z
Th1 Th 0.000 0.500 0.243
Zn1 Zn 0.000 0.000 0.000
Zn2 Zn 0.000 0.500 0.642
Zn3 Zn 0.500 0.500 0.000
In1 In 0.000 0.000 0.500
Au1 Au 0.000 0.500 0.863
Au2 Au 0.500 0.500 0.500

Record 3
# MgFe2Hg | Alexandria | GGA-PBE | relaxed
# calculated formation energy = 0.6319 eV/atom
# crystal system = tetragonal
# DOS at the Fermi energy = 0.9233 states/eV/atom
data_MgFe2Hg
_cell_length_a 7.251
_cell_length_b 7.251
_cell_length_c 5.307
_cell_angle_alpha 90.00
_cell_angle_beta 90.00
_cell_angle_gamma 90.00
_symmetry_space_group_name_H-M 'I -4 2 d'
_symmetry_Int_Tables_number 122
_symmetry_space_group_name_Hall 'I -4 2bw'
loop_
_atom_site_label
_atom_site_type_symbol
_atom_site_fract_x
_atom_site_fract_y
_atom_site_fract_z
Mg1 Mg 0.000 0.000 0.000
Fe1 Fe 0.246 0.250 0.625
Hg1 Hg 0.000 0.000 0.500

Record 4
# NaYHgPb | Alexandria | GGA-PBE | relaxed
# calculated formation energy = -0.3711 eV/atom
# crystal system = cubic
# DOS at the Fermi energy = 0.3536 states/eV/atom
data_NaYHgPb
_cell_length_a 7.522
_cell_length_b 7.522
_cell_length_c 7.522
_cell_angle_alpha 90.00
_cell_angle_beta 90.00
_cell_angle_gamma 90.00
_symmetry_space_group_name_H-M 'F -4 3 m'
_symmetry_Int_Tables_number 216
_symmetry_space_group_name_Hall 'F -4 2 3'
loop_
_atom_site_label
_atom_site_type_symbol
_atom_site_fract_x
_atom_site_fract_y
_atom_site_fract_z
Na1 Na 0.000 0.000 0.000
Y1 Y 0.000 0.000 0.500
Hg1 Hg 0.250 0.250 0.250
Pb1 Pb 0.250 0.250 0.750

Record 5
# Na3ZrPb2S6 | Alexandria | GGA-PBE | relaxed
# uncorrected formation energy = -1.016 eV/atom
# crystal system = monoclinic
# DOS at the Fermi energy = 0.4048 states/eV/atom
data_Na3ZrPb2S6
_cell_length_a 7.003
_cell_length_b 12.136
_cell_length_c 7.060
_cell_angle_alpha 90.00
_cell_angle_beta 109.66
_cell_angle_gamma 90.00
_symmetry_space_group_name_H-M 'C 1 2/m 1'
_symmetry_Int_Tables_number 12
_symmetry_space_group_name_Hall '-C 2y'
loop_
_atom_site_label
_atom_site_type_symbol
_atom_site_fract_x
_atom_site_fract_y
_atom_site_fract_z
Na1 Na 0.000 0.000 0.000
Na2 Na 0.000 0.328 0.000
Zr1 Zr 0.000 0.500 0.500
Pb1 Pb 0.000 0.166 0.500
S1 S 0.225 0.500 0.273
S2 S 0.228 0.348 0.730

Record 6
# RbSnN | Alexandria | GGA-PBE | relaxed
# ΔE to the lowest computed polymorph = 0 meV per atom
# uncorrected formation energy = 0.061 eV/atom
# crystal system = hexagonal
data_RbSnN
_cell_length_a 3.5115
_cell_length_b 3.5115
_cell_length_c 12.7882
_cell_angle_alpha 90.00
_cell_angle_beta 90.00
_cell_angle_gamma 120.00
_symmetry_space_group_name_H-M 'P 63 m c'
_symmetry_Int_Tables_number 186
_symmetry_space_group_name_Hall 'P 6c -2c'
loop_
_atom_site_label
_atom_site_type_symbol
_atom_site_fract_x
_atom_site_fract_y
_atom_site_fract_z
Rb1 Rb 0.3333 0.6667 0.0000
Sn1 Sn 0.0000 0.0000 0.2572
N1 N 0.3333 0.6667 0.3388

Record 7
# PrSm4Dy6 | Alexandria | GGA-PBE | relaxed
# ΔE to the lowest computed polymorph = 120 meV per atom
# calculated formation energy = 0.4348 eV/atom
# crystal system = tetragonal
# DOS at the Fermi energy = 1.4371 states/eV/atom
data_PrSm4Dy6
_cell_length_a 7.758
_cell_length_b 7.758
_cell_length_c 12.976
_cell_angle_alpha 90.00
_cell_angle_beta 90.00
_cell_angle_gamma 90.00
_symmetry_space_group_name_H-M 'I -4 2 m'
_symmetry_Int_Tables_number 121
_symmetry_space_group_name_Hall 'I -4 2'
loop_
_atom_site_label
_atom_site_type_symbol
_atom_site_fract_x
_atom_site_fract_y
_atom_site_fract_z
Pr1 Pr 0.000 0.000 0.000
Sm1 Sm 0.171 0.171 0.425
Dy1 Dy 0.000 0.500 0.000
Dy2 Dy 0.250 0.250 0.186

Record 8
# Li3U2TcN6 | Alexandria | GGA-PBE | relaxed
# uncorrected formation energy = -0.844 eV/atom
# crystal system = monoclinic
# DOS at the Fermi energy = 0.4353 states/eV/atom
data_Li3U2TcN6
_cell_length_a 13.380
_cell_length_b 3.350
_cell_length_c 5.794
_cell_angle_alpha 90.00
_cell_angle_beta 93.23
_cell_angle_gamma 90.00
_symmetry_space_group_name_H-M 'C 1 2/m 1'
_symmetry_Int_Tables_number 12
_symmetry_space_group_name_Hall '-C 2y'
loop_
_atom_site_label
_atom_site_type_symbol
_atom_site_fract_x
_atom_site_fract_y
_atom_site_fract_z
Li1 Li 0.000 0.000 0.000
Li2 Li 0.121 0.500 0.241
U1 U 0.184 0.500 0.752
Tc1 Tc 0.000 0.000 0.500
N1 N 0.023 0.500 0.727
N2 N 0.162 0.000 0.495
N3 N 0.170 0.000 0.999

Number 1: magnetization 0.000 Bohr magnetons per cell. Number 2: magnetization 0.000 Bohr magnetons per cell. Number 3: magnetization 20.429 Bohr magnetons per cell. Number 4: magnetization 0.000 Bohr magnetons per cell. Number 5: magnetization 0.000 Bohr magnetons per cell. Number 6: magnetization 0.000 Bohr magnetons per cell. Number 7: magnetization 0.000 Bohr magnetons per cell. Number 8: magnetization 2.155 Bohr magnetons per cell.